[1]
# RePPt2 (PBE, optimized geometry)
# Formation energy, meV per atom: 69
# E, eV/atom: -7.416
# Space-group type: R-3m (166)
# Polymorph energy (0 for the lowest one), meV/atom: 157.4
data_RePPt2
_space_group_name_H-M_alt 'P 1'
_space_group_IT_number 1
_space_group_name_Hall 'P 1'
_cell_length_a 8.655
_cell_length_b 8.655
_cell_length_c 8.655
_cell_angle_alpha 18.91
_cell_angle_beta 18.91
_cell_angle_gamma 18.91
loop_
_atom_site_label
_atom_site_type_symbol
_atom_site_fract_x
_atom_site_fract_y
_atom_site_fract_z
_atom_site_occupancy
Pt1 Pt 0.745 0.745 0.745 1
Pt2 Pt 0.255 0.255 0.255 1
Re1 Re 0.500 0.500 0.500 1
P1 P 0.000 0.000 0.000 1

***

[2]
# YTh2ZrAs4 (PBE, optimized geometry)
# Formation energy, meV per atom: -1346
# E, eV/atom: -7.402
# Space-group type: P2/m (10)
data_YTh2ZrAs4
_space_group_name_H-M_alt 'P 1'
_space_group_IT_number 1
_space_group_name_Hall 'P 1'
_cell_length_a 4.132
_cell_length_b 7.170
_cell_length_c 7.103
_cell_angle_alpha 109.53
_cell_angle_beta 90.00
_cell_angle_gamma 90.00
loop_
_atom_site_label
_atom_site_type_symbol
_atom_site_fract_x
_atom_site_fract_y
_atom_site_fract_z
_atom_site_occupancy
As1 As 0.000 0.751 0.236 1
As2 As 0.500 0.238 0.232 1
As3 As 0.000 0.249 0.764 1
As4 As 0.500 0.762 0.768 1
Th1 Th 0.500 0.000 0.500 1
Th2 Th 0.000 0.500 0.500 1
Y1 Y 0.500 0.500 0.000 1
Zr1 Zr 0.000 0.000 0.000 1